Arrangement a

## HfCoTc2 (PBE-GGA)

Data for a geometry-optimized HfCoTc2 structure.

POSCAR file:
```
HfCoTc2
1.0
6.244 0.000 0.000
0.000 6.244 0.000
0.000 0.000 6.244
Hf Co Tc
4 4 8
Cartesian
0.000 0.000 0.000
0.000 3.122 3.122
3.122 0.000 3.122
3.122 3.122 0.000
0.000 0.000 3.122
0.000 3.122 0.000
3.122 0.000 0.000
3.122 3.122 3.122
1.561 1.561 1.561
1.561 1.561 4.683
1.561 4.683 1.561
1.561 4.683 4.683
4.683 1.561 1.561
4.683 1.561 4.683
4.683 4.683 1.561
4.683 4.683 4.683
```

***

Arrangement b

## HfCoTc2 (PBE-GGA)

Data for a geometry-optimized HfCoTc2 structure.

POSCAR file:
```
HfCoTc2
1.0
7.360 0.000 0.000
0.000 7.360 0.000
0.000 0.000 4.837
Hf Co Tc
4 4 8
Cartesian
0.000 0.000 0.000
0.000 3.680 1.209
3.680 0.000 3.628
3.680 3.680 2.419
0.000 0.000 2.419
0.000 3.680 3.628
3.680 0.000 1.209
3.680 3.680 0.000
1.397 1.840 3.023
1.840 5.077 4.233
1.840 5.964 1.814
2.284 1.840 0.605
5.077 5.520 0.605
5.520 1.397 1.814
5.520 2.284 4.233
5.964 5.520 3.023
```

***

Which of them is the least stable? Correct choice: arrangement b.

***

Arrangement a

## HfCo2Tc2 (PBE-GGA)

Data for a geometry-optimized HfCo2Tc2 structure.

POSCAR file:
```
HfCo2Tc2
1.0
7.310 0.000 0.000
0.000 7.310 0.000
0.000 0.000 2.667
Hf Co Tc
2 4 4
Cartesian
0.000 0.000 0.000
3.655 3.655 0.000
1.260 2.395 1.334
2.395 6.051 1.334
4.915 1.260 1.334
6.051 4.915 1.334
0.904 4.560 0.000
2.751 0.904 0.000
4.560 6.406 0.000
6.406 2.751 0.000
```

***

Arrangement b

## HfCo2Tc2 (PBE-GGA)

Data for a geometry-optimized HfCo2Tc2 structure.

POSCAR file:
```
HfCo2Tc2
1.0
3.861 0.000 0.000
0.000 3.861 0.000
0.000 0.000 10.413
Hf Co Tc
2 4 4
Cartesian
0.000 0.000 0.000
1.930 1.930 5.207
0.000 1.930 2.603
0.000 1.930 7.810
1.930 0.000 2.603
1.930 0.000 7.810
0.000 0.000 4.048
0.000 0.000 6.365
1.930 1.930 1.159
1.930 1.930 9.255
```

***

Which of them is the least stable? Correct choice: arrangement b.

***

Arrangement a

## Hf3Co2Tc (PBE-GGA)

Data for a geometry-optimized Hf3Co2Tc structure.

POSCAR file:
```
Hf3Co2Tc
1.0
3.216 0.000 0.000
0.000 3.216 0.000
0.000 0.000 9.419
Hf Co Tc
3 2 1
Cartesian
0.000 0.000 0.000
0.000 0.000 3.111
0.000 0.000 6.308
1.608 1.608 1.495
1.608 1.608 7.923
1.608 1.608 4.709
```

***

Arrangement b

## Hf3Co2Tc (PBE-GGA)

Data for a geometry-optimized Hf3Co2Tc structure.

POSCAR file:
```
Hf3Co2Tc
1.0
4.491 0.000 0.000
0.000 13.400 0.000
0.000 0.000 3.239
Hf Co Tc
6 4 2
Cartesian
0.000 0.000 0.000
0.000 4.441 0.000
0.000 8.959 0.000
2.246 2.259 0.000
2.246 6.700 0.000
2.246 11.141 0.000
0.000 2.256 1.620
0.000 11.144 1.620
2.246 4.444 1.620
2.246 8.956 1.620
0.000 6.700 1.620
2.246 0.000 1.620
```

***

Which of them is the least stable? Correct choice: arrangement b.

***

Arrangement a

## HfCoTc (PBE-GGA)

Data for a geometry-optimized HfCoTc structure.

POSCAR file:
```
HfCoTc
1.0
3.323 0.000 0.000
0.000 12.776 0.000
0.000 0.000 4.329
Hf Co Tc
4 4 4
Cartesian
0.000 1.187 1.082
0.000 11.589 3.247
1.661 5.201 3.247
1.661 7.575 1.082
0.000 3.118 3.247
0.000 9.658 1.082
1.661 3.270 1.082
1.661 9.506 3.247
0.000 5.188 1.082
0.000 7.588 3.247
1.661 1.200 3.247
1.661 11.577 1.082
```

***

Arrangement b

## HfCoTc (PBE-GGA)

Data for a geometry-optimized HfCoTc structure.

POSCAR file:
```
HfCoTc
1.0
4.983 0.000 0.000
0.000 5.048 0.000
0.000 0.000 7.305
Hf Co Tc
4 4 4
Cartesian
0.000 1.262 0.902
0.000 3.786 6.403
2.491 1.262 2.750
2.491 3.786 4.555
0.000 0.000 3.653
0.000 2.524 3.653
2.491 0.000 0.000
2.491 2.524 0.000
1.246 1.262 5.479
1.246 3.786 1.826
3.737 1.262 5.479
3.737 3.786 1.826
```

***

Which of them is the least stable? Correct choice: arrangement a.

***

Arrangement a

## Hf3CoTc (PBE-GGA)

Data for a geometry-optimized Hf3CoTc structure.

POSCAR file:
```
Hf3CoTc
1.0
4.915 0.000 0.000
0.000 4.915 0.000
0.000 0.000 4.915
Hf Co Tc
3 1 1
Cartesian
0.000 0.000 2.458
0.000 2.458 0.000
2.458 0.000 0.000
2.458 2.458 2.458
0.000 0.000 0.000
```

***

Arrangement b

## Hf3CoTc (PBE-GGA)

Data for a geometry-optimized Hf3CoTc structure.

POSCAR file:
```
Hf3CoTc
1.0
4.674 0.000 0.000
0.000 4.674 0.000
0.000 0.000 4.674
Hf Co Tc
3 1 1
Cartesian
0.000 0.000 2.337
0.000 2.337 0.000
2.337 0.000 0.000
0.000 0.000 0.000
2.337 2.337 2.337
```

***

Which of them is the least stable? Correct choice: arrangement a.

***

Arrangement a

## HfCoTe3 (PBE-GGA)

Data for a geometry-optimized HfCoTe3 structure.

POSCAR file:
```
HfCoTe3
1.0
4.967 0.000 0.000
0.000 4.967 0.000
0.000 0.000 4.967
Hf Co Te
1 1 3
Cartesian
0.000 0.000 0.000
2.483 2.483 2.483
0.000 2.483 2.483
2.483 0.000 2.483
2.483 2.483 0.000
```

***

Arrangement b

## HfCoTe3 (PBE-GGA)

Data for a geometry-optimized HfCoTe3 structure.

POSCAR file:
```
HfCoTe3
1.0
3.815 0.000 0.000
0.000 12.318 3.181
0.000 -12.318 3.181
Hf Co Te
2 2 6
Cartesian
0.954 -8.161 3.181
2.861 8.161 3.181
0.954 -3.172 2.014
2.861 3.172 2.014
0.954 -5.642 1.540
0.954 1.702 1.401
0.954 -3.169 4.479
2.861 -1.702 1.401
2.861 5.642 1.540
2.861 3.169 4.479
```

***

Which of them is the least stable? Correct choice: arrangement a.

***

Arrangement a

## HfCo2Te2 (PBE-GGA)

Data for a geometry-optimized HfCo2Te2 structure.

POSCAR file:
```
HfCo2Te2
1.0
7.493 0.000 0.000
0.000 7.493 0.000
0.000 0.000 3.158
Hf Co Te
2 4 4
Cartesian
0.000 0.000 0.000
3.746 3.746 0.000
1.060 2.686 1.579
2.686 6.432 1.579
4.807 1.060 1.579
6.432 4.807 1.579
1.164 4.910 0.000
2.583 1.164 0.000
4.910 6.329 0.000
6.329 2.583 0.000
```

***

Arrangement b

## HfCo2Te2 (PBE-GGA)

Data for a geometry-optimized HfCo2Te2 structure.

POSCAR file:
```
HfCo2Te2
1.0
3.588 0.000 0.000
0.000 3.588 0.000
0.000 0.000 14.580
Hf Co Te
2 4 4
Cartesian
0.000 0.000 0.000
1.794 1.794 7.290
0.000 1.794 3.645
0.000 1.794 10.935
1.794 0.000 3.645
1.794 0.000 10.935
0.000 0.000 5.603
0.000 0.000 8.977
1.794 1.794 1.687
1.794 1.794 12.893
```

***

Which of them is the least stable? Correct choice: arrangement a.

***

Arrangement a

## HfTi2Co2 (PBE-GGA)

Data for a geometry-optimized HfTi2Co2 structure.

POSCAR file:
```
HfTi2Co2
1.0
4.130 -4.526 0.000
4.130 4.526 0.000
-4.118 0.000 4.513
Hf Ti Co
2 4 4
Cartesian
1.042 3.394 3.385
3.101 -3.394 1.128
-1.025 1.129 4.212
1.034 -1.129 1.956
3.109 1.129 2.558
5.168 -1.129 0.301
3.101 3.103 1.128
1.042 0.843 3.385
3.101 -0.843 1.128
1.042 -3.103 3.385
```

***

Arrangement b

## HfTi2Co2 (PBE-GGA)

Data for a geometry-optimized HfTi2Co2 structure.

POSCAR file:
```
HfTi2Co2
1.0
4.040 0.000 0.000
0.000 4.040 0.000
0.000 0.000 9.624
Hf Ti Co
2 4 4
Cartesian
0.000 0.000 0.000
2.020 2.020 4.812
0.000 2.020 2.406
0.000 2.020 7.218
2.020 0.000 2.406
2.020 0.000 7.218
0.000 0.000 3.725
0.000 0.000 5.899
2.020 2.020 1.087
2.020 2.020 8.536
```

***

Arrangement c

## HfTi2Co2 (PBE-GGA)

Data for a geometry-optimized HfTi2Co2 structure.

POSCAR file:
```
HfTi2Co2
1.0
3.036 0.000 0.000
0.000 18.029 0.000
0.000 0.000 2.828
Hf Ti Co
2 4 4
Cartesian
0.000 0.000 0.000
1.518 9.015 0.000
0.000 3.227 0.000
0.000 14.802 0.000
1.518 5.787 0.000
1.518 12.242 0.000
0.000 7.196 1.414
0.000 10.834 1.414
1.518 1.819 1.414
1.518 16.210 1.414
```

***

Arrangement d

## HfTi2Co2 (PBE-GGA)

Data for a geometry-optimized HfTi2Co2 structure.

POSCAR file:
```
HfTi2Co2
1.0
7.077 0.000 0.000
0.000 7.077 0.000
0.000 0.000 3.003
Hf Ti Co
2 4 4
Cartesian
0.000 0.000 0.000
3.539 3.539 0.000
1.118 2.421 1.501
2.421 5.959 1.501
4.656 1.118 1.501
5.959 4.656 1.501
0.922 4.461 0.000
2.616 0.922 0.000
4.461 6.155 0.000
6.155 2.616 0.000
```

***

Which of them is the least stable? Correct choice: arrangement a.

***

Arrangement a

## Hf2TiCo2 (PBE-GGA)

Data for a geometry-optimized Hf2TiCo2 structure.

POSCAR file:
```
Hf2TiCo2
1.0
7.483 0.000 0.000
0.000 7.483 0.000
0.000 0.000 2.925
Hf Ti Co
4 2 4
Cartesian
1.133 2.608 0.000
2.608 6.350 0.000
4.875 1.133 0.000
6.350 4.875 0.000
0.000 0.000 0.000
3.742 3.742 0.000
1.095 4.837 1.463
2.646 1.095 1.463
4.837 6.388 1.463
6.388 2.646 1.463
```

***

Arrangement b

## Hf2TiCo2 (PBE-GGA)

Data for a geometry-optimized Hf2TiCo2 structure.

POSCAR file:
```
Hf2TiCo2
1.0
2.665 -6.518 0.000
2.665 6.518 0.000
0.000 0.000 4.733
Hf Ti Co
4 2 4
Cartesian
2.665 5.441 3.550
2.665 2.783 1.183
2.665 -2.783 3.550
2.665 -5.441 1.183
2.665 0.000 0.000
2.665 0.000 2.367
1.326 1.682 3.550
1.326 -1.682 1.183
4.004 1.682 3.550
4.004 -1.682 1.183
```

***

Which of them is the least stable? Correct choice: arrangement a.

***

Arrangement a

## Hf2TiCo3 (PBE-GGA)

Data for a geometry-optimized Hf2TiCo3 structure.

POSCAR file:
```
Hf2TiCo3
1.0
3.793 -6.579 0.000
3.793 6.579 0.000
-2.495 0.000 3.572
Hf Ti Co
4 2 6
Cartesian
1.922 5.476 2.679
3.170 3.241 0.893
1.922 -3.241 2.679
3.170 -5.476 0.893
1.922 1.052 2.679
3.170 -1.052 0.893
0.649 3.290 1.786
1.966 1.028 0.049
0.719 -1.028 1.835
1.897 -3.290 0.000
4.373 1.028 1.737
3.125 -1.028 3.523
```

***

Arrangement b

## Hf2TiCo3 (PBE-GGA)

Data for a geometry-optimized Hf2TiCo3 structure.

POSCAR file:
```
Hf2TiCo3
1.0
4.067 0.000 0.000
0.000 4.937 0.000
0.000 0.000 9.394
Hf Ti Co
4 2 6
Cartesian
0.000 0.000 1.656
0.000 0.000 7.739
2.033 2.468 3.042
2.033 2.468 6.353
0.000 0.000 4.697
2.033 2.468 0.000
0.000 2.468 1.309
0.000 2.468 4.697
0.000 2.468 8.086
2.033 0.000 0.000
2.033 0.000 3.388
2.033 0.000 6.006
```

***

Which of them is the least stable? Correct choice: arrangement b.

***

Arrangement a

## Hf3TlCo (PBE-GGA)

Data for a geometry-optimized Hf3TlCo structure.

POSCAR file:
```
Hf3TlCo
1.0
4.799 0.000 0.000
0.000 4.799 0.000
0.000 0.000 4.799
Hf Tl Co
3 1 1
Cartesian
0.000 0.000 2.399
0.000 2.399 0.000
2.399 0.000 0.000
2.399 2.399 2.399
0.000 0.000 0.000
```

***

Arrangement b

## Hf3TlCo (PBE-GGA)

Data for a geometry-optimized Hf3TlCo structure.

POSCAR file:
```
Hf3TlCo
1.0
6.118 -1.622 0.000
6.118 1.622 0.000
-0.042 0.000 10.412
Hf Tl Co
6 2 2
Cartesian
0.326 0.000 3.687
2.846 0.000 6.687
5.115 0.000 1.456
7.079 0.000 8.957
9.348 0.000 3.725
11.869 0.000 6.725
1.931 0.000 1.130
10.264 0.000 9.283
4.805 0.000 4.807
7.390 0.000 5.605
```

***

Which of them is the least stable? Correct choice: arrangement a.